Density functional theory data (GGA+U) for a geometry-optimized CsCrBr2F structure.

abc: 5.766 5.766 4.112
angles: 90.00 90.00 90.00
Space group P4/mmm (No. 123)
Symmetry-distinct sites (fractional):
Cs 0.000 0.000 0.000 x1
Cr 0.500 0.500 0.500 x1
Br 0.000 0.500 0.500 x2
F 0.500 0.500 0.000 x1

Summary:
* size of the total moment: 4.00 μB/cell
* E_tot: -4.414 eV/atom